Entry 1:
Computed, not measured: a geometry-optimized SrI2NO structure at the PBE level of DFT.

Geometry as POSCAR:
```
SrI2NO
1.0
-1.160 5.334 -0.247
-0.016 -0.224 -4.774
-5.340 -1.158 0.073
I Sr O N
2 1 1 1
Cartesian
-2.670 -0.579 0.036
-0.580 2.667 -0.123
-0.008 -0.112 -2.387
0.000 0.000 0.000
-3.258 1.976 -2.474
```

Calculated values
Formation energy without anion corrections in meV/atom: 179
Electronic total energy in eV/atom: -3.434
Crystal system: tetragonal

---

Entry 2:
Computed, not measured: a geometry-optimized Li3RePt structure at the PBE level of DFT.

Geometry as POSCAR:
```
Li3RePt
1.0
-0.703 1.547 3.992
1.770 -3.579 1.698
3.899 1.904 -0.051
Re Pt Li
1 1 3
Cartesian
2.483 -0.064 2.820
0.000 0.000 0.000
0.885 -1.789 0.849
1.949 0.952 -0.026
-0.351 0.773 1.996
```

Calculated values
Formation enthalpy at 0 K in eV per atom: 1.16
Electronic total energy in eV/atom: -3.687
Crystal system: cubic

---

Entry 3:
Computed, not measured: a geometry-optimized AgP2Rh2 structure at the PBE level of DFT.

Geometry as POSCAR:
```
AgP2Rh2
1.0
-1.888 -0.468 3.193
2.694 -2.267 1.260
3.108 3.100 4.481
P Rh Ag
2 2 1
Cartesian
0.812 0.632 4.950
3.102 -0.267 3.984
1.089 -0.234 2.799
2.824 0.599 6.135
0.000 0.000 0.000
```

Calculated values
Formation enthalpy at 0 K in eV per atom: -0.21
Electronic total energy in eV/atom: -5.889
Crystal system: tetragonal

---

Entry 4:
Computed, not measured: a geometry-optimized InGa2Br structure at the PBE level of DFT.

Geometry as POSCAR:
```
InGa2Br
1.0
0.000 3.681 3.681
3.681 0.000 3.681
3.681 3.681 0.000
Ga Br In
2 1 1
Cartesian
1.840 1.840 1.840
5.521 5.521 5.521
0.000 0.000 0.000
3.681 3.681 3.681
```

Calculated values
Formation energy without anion corrections in meV/atom: 53
Electronic total energy in eV/atom: -2.563
Crystal system: cubic

---

Entry 5:
Computed, not measured: a geometry-optimized Mo2PdI structure at the PBE level of DFT.

Geometry as POSCAR:
```
Mo2PdI
1.0
-0.810 2.330 3.859
-4.308 0.861 1.293
-1.770 -2.143 3.640
I Mo Pd
1 2 1
Cartesian
-3.444 0.524 4.396
-1.722 0.262 2.198
-5.167 0.786 6.594
0.000 0.000 0.000
```

Calculated values
Formation energy without anion corrections in meV/atom: 711
Electronic total energy in eV/atom: -6.390
Crystal system: cubic

---

Entry 6:
Computed, not measured: a geometry-optimized EuLuInAu structure at the PBE level of DFT.

Geometry as POSCAR:
```
EuLuInAu
1.0
5.266 0.000 0.000
2.633 4.561 0.000
2.633 1.520 4.300
Eu Lu Au In
1 1 1 1
Cartesian
7.899 4.561 3.225
2.633 1.520 1.075
0.000 0.000 0.000
5.266 3.040 2.150
```

Calculated values
Formation enthalpy at 0 K in eV per atom: -0.56
Electronic total energy in eV/atom: -5.759
Crystal system: cubic

---

Entry 7:
Computed, not measured: a geometry-optimized Cr2PtW structure at the PBE level of DFT.

Geometry as POSCAR:
```
Cr2PtW
1.0
-2.411 -1.029 -0.399
1.518 -0.993 -1.934
1.938 -6.404 4.811
Cr Pt W
2 1 1
Cartesian
0.029 -0.095 0.071
0.012 -2.526 -0.028
0.945 -3.123 2.346
1.029 -5.884 2.494
```

Calculated values
Formation enthalpy at 0 K in eV per atom: 0.10
Electronic total energy in eV/atom: -9.457
Crystal system: orthorhombic

---

Entry 8:
Computed, not measured: a geometry-optimized CuSn2Cl6 structure at the PBE level of DFT.

Geometry as POSCAR:
```
CuSn2Cl6
1.0
-1.743 -4.375 -4.312
5.232 1.292 -3.426
6.068 -8.422 6.092
Cu Sn Cl
2 4 12
Cartesian
0.000 0.000 0.000
4.778 -5.753 -0.823
2.038 -2.828 2.046
6.816 -8.581 1.223
2.741 -2.925 -2.869
4.030 -5.594 4.046
3.130 -3.799 -0.341
4.456 -4.972 -3.283
8.989 -6.840 1.509
4.666 -10.353 0.960
4.891 -1.153 -2.605
0.568 -4.665 -3.155
5.100 -6.534 1.637
6.427 -7.706 -1.305
0.909 -0.804 -2.017
2.579 -2.280 -5.721
6.596 -4.276 -0.592
2.960 -7.230 -1.054
```

Calculated values
Formation energy without anion corrections in meV/atom: -789
Electronic total energy in eV/atom: -3.365
Crystal system: tetragonal

---

Entry 9:
Computed, not measured: a geometry-optimized Re2TeW structure at the PBE level of DFT.

Geometry as POSCAR:
```
Re2TeW
1.0
2.834 0.014 0.000
-1.100 2.612 0.000
0.000 0.000 9.609
Re Te W
2 1 1
Cartesian
0.000 0.000 0.009
0.867 1.313 2.097
0.000 0.000 4.822
0.867 1.313 7.486
```

Calculated values
Formation energy without anion corrections in meV/atom: 838
Electronic total energy in eV/atom: -9.410
Crystal system: orthorhombic

---

Entry 10:
Computed, not measured: a geometry-optimized CuSbF2 structure at the PBE level of DFT.

Geometry as POSCAR:
```
CuSbF2
1.0
-5.109 -2.597 -0.625
1.546 -3.976 3.878
-3.328 -0.964 4.624
Sb Cu F
2 2 4
Cartesian
0.000 0.000 0.000
-5.110 -3.424 2.813
-1.781 -3.286 1.627
-1.782 -4.113 5.065
-3.408 -2.146 1.302
-0.928 -3.266 3.450
-3.704 -3.518 5.010
-5.742 -6.144 5.993
```

Calculated values
Formation energy without anion corrections in meV/atom: -819
Electronic total energy in eV/atom: -3.809
Crystal system: tetragonal

---

Entry 11:
Computed, not measured: a geometry-optimized Ca2Ac5Pr4 structure at the PBE level of DFT.

Geometry as POSCAR:
```
Ca2Ac5Pr4
1.0
3.760 0.000 0.000
0.000 9.562 -0.077
0.000 1.253 12.600
Ca Ac Pr
2 5 4
Cartesian
0.000 9.848 7.934
0.000 0.967 4.589
0.000 4.500 3.735
0.000 7.897 2.004
0.000 4.781 -0.038
0.000 2.918 10.519
0.000 6.316 8.788
1.880 3.575 6.925
1.880 9.205 11.251
1.880 7.240 5.598
1.880 1.610 1.273
```

Calculated values
Formation enthalpy at 0 K in eV per atom: 0.11
Electronic total energy in eV/atom: -3.857
Crystal system: monoclinic

---

Entry 12:
Computed, not measured: a geometry-optimized Tm4FeRh structure at the PBE level of DFT.

Geometry as POSCAR:
```
Tm4FeRh
1.0
-2.695 -3.450 -4.241
-0.312 -4.589 5.741
-4.113 6.422 0.864
Tm Fe Rh
8 2 2
Cartesian
-3.705 4.516 2.060
-5.028 -1.780 1.199
-4.791 1.419 2.890
-3.920 -1.417 4.516
-3.201 -0.200 -2.152
-2.329 -3.036 -0.526
-2.092 0.162 1.165
-3.415 -6.134 0.305
-0.679 -0.860 -1.059
-6.441 -0.757 3.423
-2.366 -2.500 2.252
-4.754 0.883 0.112
```

Calculated values
Formation enthalpy at 0 K in eV per atom: -0.37
Electronic total energy in eV/atom: -5.983
Crystal system: monoclinic